1.
DFT (PBE-GGA) results for a relaxed CsTbTlO3 crystal.

It has space group P2_1/m (No. 11), with a = 7.566 Å, b = 3.587 Å, c = 11.133 Å, α = 90.00°, β = 102.93° and γ = 90.00°. Symmetry generates all atoms from Cs at (0.043, 0.250, 0.318), Tb at (0.466, 0.250, 0.624), Tl at (0.444, 0.750, 0.883), O at (0.288, 0.250, 0.781), O at (0.338, 0.750, 0.503) and O at (0.392, 0.250, 0.258).

The calculation puts the formation energy without anion corrections at -1.943 eV per atom. As for the raw total energy: -5.730 eV per atom.

2.
DFT (PBE-GGA) results for a relaxed La2ZrAg2 crystal.

It has space group I4/mmm (No. 139), with a = 5.965 Å, b = 5.965 Å, c = 8.498 Å, α = 90.00°, β = 90.00° and γ = 90.00°. Symmetry generates all atoms from La at (0.000, 0.500, 0.250), Zr at (0.000, 0.000, 0.000) and Ag at (0.000, 0.000, 0.347).

The formation energy comes out at 0.2330 eV per atom. As for the raw total energy: -4.588 eV per atom.

Q: Look up the raw total energy of the second one.
A: -4.588 eV per atom

Q: What is the formula in the first record?
A: CsTbTlO3

Q: raw total energy of number 1 (CsTbTlO3)?
A: -5.730 eV per atom